Record 1
DFT (PBE) results for a geometry-optimized Pu2PaSi4 structure.

## Properties
Its crystal system is orthorhombic. The uncorrected formation energy comes out at -47.0 kJ/mol of atoms.

abc: 3.946 4.076 9.253
angles: 102.72 102.31 90.00
Sites, in units of the cell vectors:
Pu  0.812  0.812  0.625
Pu  0.188  0.188  0.375
Pa  0.500  0.000  0.000
Si  0.640  0.640  0.280
Si  0.360  0.360  0.720
Si  0.065  0.565  0.130
Si  0.935  0.435  0.870

***

Record 2
DFT (PBE) results for a geometry-optimized K2HfHgCl6 structure.

## Properties
Its crystal system is trigonal. The uncorrected formation energy comes out at -166.5 kJ/mol of atoms.

abc: 7.159 7.159 20.050
angles: 79.72 79.72 60.00
Sites, in units of the cell vectors:
K  0.852  0.852  0.444
K  0.148  0.148  0.556
K  0.685  0.685  0.944
K  0.315  0.315  0.056
Hf  0.000  0.000  0.000
Hf  0.500  0.500  0.500
Hg  0.584  0.584  0.248
Hg  0.416  0.416  0.752
Cl  0.849  0.362  0.428
Cl  0.362  0.849  0.428
Cl  0.362  0.362  0.428
Cl  0.151  0.638  0.572
Cl  0.638  0.151  0.572
Cl  0.638  0.638  0.572
Cl  0.700  0.186  0.928
Cl  0.186  0.700  0.928
Cl  0.186  0.186  0.928
Cl  0.300  0.814  0.072
Cl  0.814  0.300  0.072
Cl  0.814  0.814  0.072

***

Record 3
DFT (PBE) results for a geometry-optimized SmS structure.

## Properties
Its crystal system is tetragonal. The uncorrected formation energy comes out at -172.7 kJ/mol of atoms.

abc: 8.966 8.966 8.966
angles: 154.76 154.76 36.00
Sites, in units of the cell vectors:
Sm  0.320  0.320  0.000
Sm  0.680  0.680  0.000
S  0.153  0.153  0.000
S  0.847  0.847  0.000

***

What is the formula in the third record?
SmS